Record 1
# BeZnFeMo, relaxed, DFT PBE
data_BeZnFeMo
_cell_length_a 5.7570
_cell_length_b 5.7570
_cell_length_c 5.7570
_cell_angle_alpha 90.00
_cell_angle_beta 90.00
_cell_angle_gamma 90.00
_symmetry_space_group_name_H-M 'F -4 3 m'
_symmetry_Int_Tables_number 216
_symmetry_space_group_name_Hall 'F -4 2 3'
loop_
_atom_site_label
_atom_site_type_symbol
_atom_site_fract_x
_atom_site_fract_y
_atom_site_fract_z
Be1 Be 0.0000 0.0000 0.0000
Zn1 Zn 0.2500 0.2500 0.2500
Fe1 Fe 0.0000 0.0000 0.5000
Mo1 Mo 0.2500 0.2500 0.7500
# **Total DFT energy (no corrections)**: -6.06 eV per atom
# **DFT formation energy**: 0.0112 eV per atom
# **M_tot**: 0.0 μB per cell

Record 2
# Zr2Be2Fe5Mo, relaxed, DFT PBE
data_Zr2Be2Fe5Mo
_cell_length_a 8.9639
_cell_length_b 8.9639
_cell_length_c 3.1003
_cell_angle_alpha 90.00
_cell_angle_beta 90.00
_cell_angle_gamma 90.00
_symmetry_space_group_name_H-M 'P 4/m b m'
_symmetry_Int_Tables_number 127
_symmetry_space_group_name_Hall '-P 4 2ab'
loop_
_atom_site_label
_atom_site_type_symbol
_atom_site_fract_x
_atom_site_fract_y
_atom_site_fract_z
Zr1 Zr 0.1743 0.3257 0.0000
Be1 Be 0.1201 0.6201 0.0000
Fe1 Fe 0.0000 0.5000 0.5000
Fe2 Fe 0.0669 0.7895 0.5000
Mo1 Mo 0.0000 0.0000 0.0000
# **Total DFT energy (no corrections)**: -7.93 eV per atom
# **DFT formation energy**: -0.1647 eV per atom
# **M_tot**: 2.3 μB per cell